{"formula": "Ce3ScAs4", "functional": "PBE", "state": "relaxed", "total_energy_ev_per_atom": -6.7260, "rho_g_cm3": 6.3, "space_group": "Cmmm, No. 65", "lattice": [[4.1336, -5.8460, 0.0000], [4.1336, 5.8460, 0.0000], [0.0000, 0.0000, 4.1463]], "species": ["Ce", "Ce", "Ce", "Sc", "As", "As", "As", "As"], "fractional_positions": [[0.0000, 0.0000, 0.0000], [0.0000, 0.5000, 0.5000], [0.5000, 0.0000, 0.5000], [0.5000, 0.5000, 0.0000], [0.2573, 0.7427, 0.0000], [0.2631, 0.2631, 0.5000], [0.7369, 0.7369, 0.5000], [0.7427, 0.2573, 0.0000]]}

---

{"formula": "BaCaTe2", "functional": "PBE", "state": "relaxed", "e_form_raw_ev_per_atom": -1.649, "rho_g_cm3": 4.7, "space_group": "R3m, No. 160", "lattice": [[2.3378, 1.3497, 8.1007], [-2.3378, 1.3497, 8.1007], [0.0000, -2.6995, 8.1007]], "species": ["Ba", "Ca", "Te", "Te"], "fractional_positions": [[0.0000, 0.0000, 0.0000], [0.8307, 0.8307, 0.8307], [0.2395, 0.2395, 0.2395], [0.4244, 0.4244, 0.4244]]}

---

{"formula": "CaV2ZnGe", "functional": "PBE", "state": "relaxed", "total_energy_ev_per_atom": -4.5450, "rho_g_cm3": 3.7, "space_group": "P4/mmm, No. 123", "lattice": [[4.7982, 0.0000, 0.0000], [0.0000, 4.7982, 0.0000], [0.0000, 0.0000, 5.4356]], "species": ["Ca", "V", "V", "Zn", "Ge"], "fractional_positions": [[0.0000, 0.0000, 0.0000], [0.0000, 0.5000, 0.5000], [0.5000, 0.0000, 0.5000], [0.5000, 0.5000, 0.0000], [0.0000, 0.0000, 0.5000]]}

---

{"formula": "TbDySeS", "functional": "PBE", "state": "relaxed", "e_form_raw_ev_per_atom": -1.901, "rho_g_cm3": 7.9, "space_group": "R3m, No. 160", "lattice": [[1.9562, 1.1294, 6.8948], [-1.9562, 1.1294, 6.8948], [0.0000, -2.2589, 6.8948]], "species": ["Tb", "Dy", "Se", "S"], "fractional_positions": [[0.0000, 0.0000, 0.0000], [0.8152, 0.8152, 0.8152], [0.2395, 0.2395, 0.2395], [0.4101, 0.4101, 0.4101]]}

---

{"formula": "Be2IrRh2", "functional": "PBE", "state": "relaxed", "total_energy_ev_per_atom": -6.6113, "rho_g_cm3": 11.9, "space_group": "P4/mbm, No. 127", "lattice": [[6.4546, 0.0000, 0.0000], [0.0000, 6.4546, 0.0000], [0.0000, 0.0000, 2.7846]], "species": ["Be", "Be", "Be", "Be", "Ir", "Ir", "Rh", "Rh", "Rh", "Rh"], "fractional_positions": [[0.1264, 0.3736, 0.0000], [0.3736, 0.8736, 0.0000], [0.6264, 0.1264, 0.0000], [0.8736, 0.6264, 0.0000], [0.0000, 0.0000, 0.0000], [0.5000, 0.5000, 0.0000], [0.1698, 0.6698, 0.5000], [0.3302, 0.1698, 0.5000], [0.6698, 0.8302, 0.5000], [0.8302, 0.3302, 0.5000]]}

---

{"formula": "BaMgAg2F6", "functional": "PBE", "state": "relaxed", "e_form_raw_ev_per_atom": -2.557, "rho_g_cm3": 5.1, "space_group": "P2_1/c, No. 14", "lattice": [[5.9568, 0.0000, 0.0000], [0.0000, 6.2148, 0.0000], [-5.7525, 0.0000, 8.6898]], "species": ["Ba", "Ba", "Mg", "Mg", "Ag", "Ag", "Ag", "Ag", "F", "F", "F", "F", "F", "F", "F", "F", "F", "F", "F", "F"], "fractional_positions": [[0.0000, 0.0000, 0.0000], [0.0000, 0.5000, 0.5000], [0.5000, 0.0000, 0.5000], [0.5000, 0.5000, 0.0000], [0.2625, 0.0543, 0.7460], [0.2625, 0.4457, 0.2460], [0.7375, 0.5543, 0.7540], [0.7375, 0.9457, 0.2540], [0.1618, 0.0888, 0.2891], [0.1618, 0.4112, 0.7891], [0.2763, 0.6563, 0.0565], [0.2763, 0.8437, 0.5565], [0.4414, 0.2268, 0.0874], [0.4414, 0.2732, 0.5874], [0.5586, 0.7268, 0.4126], [0.5586, 0.7732, 0.9126], [0.7237, 0.1563, 0.4435], [0.7237, 0.3437, 0.9435], [0.8382, 0.5888, 0.2109], [0.8382, 0.9112, 0.7109]]}

---

{"formula": "SrLiH2", "functional": "PBE", "state": "relaxed", "total_energy_ev_per_atom": -2.9536, "rho_g_cm3": 2.7, "space_group": "P3_121, No. 152", "lattice": [[5.4922, 0.0000, 0.0000], [-2.7461, 4.7564, 0.0000], [0.0000, 0.0000, 6.7238]], "species": ["Sr", "Sr", "Sr", "Li", "Li", "Li", "H", "H", "H", "H", "H", "H"], "fractional_positions": [[0.0000, 0.6499, 0.1667], [0.3501, 0.3501, 0.5000], [0.6499, 0.0000, 0.8333], [0.0000, 0.6581, 0.6667], [0.3419, 0.3419, 0.0000], [0.6581, 0.0000, 0.3333], [0.1704, 0.5208, 0.8403], [0.3504, 0.8296, 0.5070], [0.4792, 0.6496, 0.1737], [0.5208, 0.1704, 0.1597], [0.6496, 0.4792, 0.8263], [0.8296, 0.3504, 0.4930]]}

---

{"formula": "Mo3RhN", "functional": "PBE", "state": "relaxed", "e_form_raw_ev_per_atom": -0.132, "rho_g_cm3": 9.9, "space_group": "P-1, No. 2", "lattice": [[2.8843, 0.0000, 0.0000], [1.4373, 5.2326, 0.0000], [0.0021, 2.6556, 8.9908]], "species": ["Mo", "Mo", "Mo", "Mo", "Mo", "Mo", "Rh", "Rh", "N", "N"], "fractional_positions": [[0.0985, 0.3048, 0.1571], [0.1941, 0.1106, 0.5989], [0.3541, 0.7885, 0.0949], [0.6459, 0.2115, 0.9051], [0.8059, 0.8894, 0.4011], [0.9015, 0.6952, 0.8429], [0.4712, 0.5580, 0.6289], [0.5288, 0.4420, 0.3711], [0.2535, 0.9934, 0.8266], [0.7465, 0.0066, 0.1734]]}

---

{"formula": "InReI2N", "functional": "PBE", "state": "relaxed", "e_form_raw_ev_per_atom": 0.277, "rho_g_cm3": 7.4, "space_group": "P4/mmm, No. 123", "lattice": [[5.7604, 0.0000, 0.0000], [0.0000, 5.7604, 0.0000], [0.0000, 0.0000, 3.8211]], "species": ["In", "Re", "I", "I", "N"], "fractional_positions": [[0.0000, 0.0000, 0.0000], [0.5000, 0.5000, 0.5000], [0.0000, 0.5000, 0.5000], [0.5000, 0.0000, 0.5000], [0.5000, 0.5000, 0.0000]]}

---

{"formula": "Ti2CoHIr", "functional": "PBE", "state": "relaxed", "total_energy_ev_per_atom": -7.5861, "rho_g_cm3": 9.9, "space_group": "P4/mmm, No. 123", "lattice": [[4.0982, 0.0000, 0.0000], [0.0000, 4.0982, 0.0000], [0.0000, 0.0000, 3.4660]], "species": ["Ti", "Ti", "Co", "H", "Ir"], "fractional_positions": [[0.0000, 0.5000, 0.0000], [0.5000, 0.0000, 0.0000], [0.0000, 0.0000, 0.5000], [0.0000, 0.0000, 0.0000], [0.5000, 0.5000, 0.5000]]}

---

{"formula": "La2HgP", "functional": "PBE", "state": "relaxed", "total_energy_ev_per_atom": -4.5774, "rho_g_cm3": 6.6, "space_group": "I-42d, No. 122", "lattice": [[-4.0031, 4.0031, 3.9761], [4.0031, -4.0031, 3.9761], [4.0031, 4.0031, -3.9761]], "species": ["La", "La", "La", "La", "Hg", "Hg", "P", "P"], "fractional_positions": [[0.0946, 0.6250, 0.9696], [0.3750, 0.3446, 0.4696], [0.6554, 0.1250, 0.0304], [0.8750, 0.9054, 0.5304], [0.2500, 0.7500, 0.5000], [0.5000, 0.5000, 0.0000], [0.0000, 0.0000, 0.0000], [0.7500, 0.2500, 0.5000]]}

---

{"formula": "Co2PtW", "functional": "PBE", "state": "relaxed", "total_energy_ev_per_atom": -8.3857, "rho_g_cm3": 15.8, "space_group": "I4/mmm, No. 139", "lattice": [[-1.9033, 1.9033, 3.6040], [1.9033, -1.9033, 3.6040], [1.9033, 1.9033, -3.6040]], "species": ["Co", "Co", "Pt", "W"], "fractional_positions": [[0.2500, 0.7500, 0.5000], [0.7500, 0.2500, 0.5000], [0.0000, 0.0000, 0.0000], [0.5000, 0.5000, 0.0000]]}

---

{"formula": "TcMo3Cl", "functional": "PBE", "state": "relaxed", "e_form_raw_ev_per_atom": 1.846, "rho_g_cm3": 6.5, "space_group": "Pm-3m, No. 221", "lattice": [[4.7676, 0.0000, 0.0000], [0.0000, 4.7676, 0.0000], [0.0000, 0.0000, 4.7676]], "species": ["Tc", "Mo", "Mo", "Mo", "Cl"], "fractional_positions": [[0.0000, 0.0000, 0.0000], [0.0000, 0.0000, 0.5000], [0.0000, 0.5000, 0.0000], [0.5000, 0.0000, 0.0000], [0.5000, 0.5000, 0.5000]]}

---

{"formula": "Pr2Er3Tm6Pb", "functional": "PBE", "state": "relaxed", "total_energy_ev_per_atom": -4.5462, "rho_g_cm3": 9.1, "space_group": "C2/m, No. 12", "lattice": [[3.0272, -5.2464, 0.0000], [3.0272, 5.2464, 0.0000], [-2.0271, 0.0000, 11.4943]], "species": ["Pr", "Pr", "Er", "Er", "Er", "Tm", "Tm", "Tm", "Tm", "Tm", "Tm", "Pb"], "fractional_positions": [[0.1662, 0.8338, 0.0000], [0.8338, 0.1662, 0.0000], [0.0000, 0.0000, 0.5000], [0.3327, 0.6673, 0.5000], [0.6673, 0.3327, 0.5000], [0.0890, 0.4166, 0.7475], [0.2565, 0.2565, 0.2534], [0.4166, 0.0890, 0.7475], [0.5834, 0.9110, 0.2525], [0.7435, 0.7435, 0.7466], [0.9110, 0.5834, 0.2525], [0.5000, 0.5000, 0.0000]]}

---

{"formula": "In2Pt2I", "functional": "PBE", "state": "relaxed", "e_form_raw_ev_per_atom": -0.163, "rho_g_cm3": 9.9, "space_group": "I4/mmm, No. 139", "lattice": [[-1.9564, 1.9564, 8.1800], [1.9564, -1.9564, 8.1800], [1.9564, 1.9564, -8.1800]], "species": ["In", "In", "Pt", "Pt", "I"], "fractional_positions": [[0.1292, 0.1292, 0.0000], [0.8708, 0.8708, 0.0000], [0.2500, 0.7500, 0.5000], [0.7500, 0.2500, 0.5000], [0.5000, 0.5000, 0.0000]]}

---

{"formula": "CaPOs2", "functional": "PBE", "state": "relaxed", "total_energy_ev_per_atom": -7.3355, "rho_g_cm3": 11.3, "space_group": "C2/m, No. 12", "lattice": [[4.8784, -1.4662, 0.0000], [4.8784, 1.4662, 0.0000], [-1.9780, 0.0000, 4.6391]], "species": ["Ca", "P", "Os", "Os"], "fractional_positions": [[0.0000, 0.0000, 0.0000], [0.5000, 0.5000, 0.5000], [0.2068, 0.2068, 0.6752], [0.7932, 0.7932, 0.3248]]}

---

{"formula": "YEr2Tm5Th", "functional": "PBE", "state": "relaxed", "total_energy_ev_per_atom": -4.7122, "rho_g_cm3": 8.9, "space_group": "I4/mcm, No. 140", "lattice": [[-4.3790, 4.3790, 7.3224], [4.3790, -4.3790, 7.3224], [4.3790, 4.3790, -7.3224]], "species": ["Y", "Y", "Er", "Er", "Er", "Er", "Tm", "Tm", "Tm", "Tm", "Tm", "Tm", "Tm", "Tm", "Tm", "Tm", "Th", "Th"], "fractional_positions": [[0.2500, 0.7500, 0.5000], [0.7500, 0.2500, 0.5000], [0.1130, 0.6130, 0.7259], [0.3870, 0.1130, 0.5000], [0.6130, 0.8870, 0.5000], [0.8870, 0.3870, 0.2741], [0.0000, 0.0000, 0.0000], [0.0738, 0.1570, 0.5000], [0.1570, 0.6570, 0.0832], [0.3430, 0.4262, 0.5000], [0.4262, 0.9262, 0.0832], [0.5000, 0.5000, 0.0000], [0.5738, 0.0738, 0.9168], [0.6570, 0.5738, 0.5000], [0.8430, 0.3430, 0.9168], [0.9262, 0.8430, 0.5000], [0.2500, 0.2500, 0.0000], [0.7500, 0.7500, 0.0000]]}

---

{"formula": "Rb12CdHg7", "functional": "PBE", "state": "relaxed", "total_energy_ev_per_atom": -0.8897, "rho_g_cm3": 3.7, "space_group": "R-3, No. 148", "lattice": [[9.4936, 5.4812, 3.6380], [-9.4936, 5.4812, 3.6380], [0.0000, -10.9623, 3.6380]], "species": ["Rb", "Rb", "Rb", "Rb", "Rb", "Rb", "Rb", "Rb", "Rb", "Rb", "Rb", "Rb", "Cd", "Hg", "Hg", "Hg", "Hg", "Hg", "Hg", "Hg"], "fractional_positions": [[0.1017, 0.6482, 0.2539], [0.1129, 0.3215, 0.4041], [0.2539, 0.1017, 0.6482], [0.3215, 0.4041, 0.1129], [0.3518, 0.7461, 0.8983], [0.4041, 0.1129, 0.3215], [0.5959, 0.8871, 0.6785], [0.6482, 0.2539, 0.1017], [0.6785, 0.5959, 0.8871], [0.7461, 0.8983, 0.3518], [0.8871, 0.6785, 0.5959], [0.8983, 0.3518, 0.7461], [0.0000, 0.0000, 0.0000], [0.0091, 0.9192, 0.2338], [0.0808, 0.7662, 0.9909], [0.2338, 0.0091, 0.9192], [0.5000, 0.5000, 0.5000], [0.7662, 0.9909, 0.0808], [0.9192, 0.2338, 0.0091], [0.9909, 0.0808, 0.7662]]}

---

{"formula": "PuAlCuPt", "functional": "PBE", "state": "relaxed", "total_energy_ev_per_atom": -7.4443, "rho_g_cm3": 11.3, "space_group": "R3m, No. 160", "lattice": [[2.1372, 1.2339, 4.9341], [-2.1372, 1.2339, 4.9341], [0.0000, -2.4678, 4.9341]], "species": ["Pu", "Al", "Cu", "Pt"], "fractional_positions": [[0.0000, 0.0000, 0.0000], [0.2000, 0.2000, 0.2000], [0.5189, 0.5189, 0.5189], [0.7942, 0.7942, 0.7942]]}

---

{"formula": "MgSi3W", "functional": "PBE", "state": "relaxed", "e_form_raw_ev_per_atom": 1.977, "rho_g_cm3": 4.9, "space_group": "Pm-3m, No. 221", "lattice": [[4.6248, 0.0000, 0.0000], [0.0000, 4.6248, 0.0000], [0.0000, 0.0000, 4.6248]], "species": ["Mg", "Si", "Si", "Si", "W"], "fractional_positions": [[0.0000, 0.0000, 0.0000], [0.0000, 0.0000, 0.5000], [0.0000, 0.5000, 0.0000], [0.5000, 0.0000, 0.0000], [0.5000, 0.5000, 0.5000]]}